# HgAu

A PBEsol-optimized structure of HgAu (meta-GGA SCAN, the Alexandria database).

Geometry as POSCAR:
```
HgAu
1.0
4.142 0.000 0.000
0.000 4.142 0.000
0.000 0.000 8.778
Hg Au
4 4
Direct
0.000 0.250 0.375 Hg
0.000 0.750 0.625 Hg
0.500 0.250 0.125 Hg
0.500 0.750 0.875 Hg
0.000 0.250 0.875 Au
0.000 0.750 0.125 Au
0.500 0.250 0.625 Au
0.500 0.750 0.375 Au
```

E_form = 0.12 eV/atom
theoretical density = 17.531 g/cm3
SG = No. 141